Record 1
CsCd3F: PBEsol geometry, meta-GGA SCAN.

- E (eV/cell) = -134.72

```
data_CsCd3F
_chemical_formula_sum 'Cs1 Cd3 F1'
_space_group_name_H-M_alt 'P m -3 m'
_space_group_IT_number 221
_space_group_name_Hall '-P 4 2 3'
_cell_length_a 5.391
_cell_length_b 5.391
_cell_length_c 5.391
_cell_angle_alpha 90.00
_cell_angle_beta 90.00
_cell_angle_gamma 90.00
loop_
_atom_site_label
_atom_site_type_symbol
_atom_site_fract_x
_atom_site_fract_y
_atom_site_fract_z
Cs1 Cs 0.000 0.000 0.000
Cd1 Cd 0.000 0.500 0.500
F1 F 0.500 0.500 0.500
```



Record 2
Cs3CdF: PBEsol geometry, meta-GGA SCAN.

- E (eV/cell) = -152.96

```
data_Cs3CdF
_chemical_formula_sum 'Cs3 Cd1 F1'
_space_group_name_H-M_alt 'P m -3 m'
_space_group_IT_number 221
_space_group_name_Hall '-P 4 2 3'
_cell_length_a 5.951
_cell_length_b 5.951
_cell_length_c 5.951
_cell_angle_alpha 90.00
_cell_angle_beta 90.00
_cell_angle_gamma 90.00
loop_
_atom_site_label
_atom_site_type_symbol
_atom_site_fract_x
_atom_site_fract_y
_atom_site_fract_z
Cs1 Cs 0.000 0.000 0.500
Cd1 Cd 0.500 0.500 0.500
F1 F 0.000 0.000 0.000
```



Record 3
CsCdO2F: PBEsol geometry, meta-GGA SCAN.

- E (eV/cell) = -84.10

```
data_CsCdO2F
_chemical_formula_sum 'Cs1 Cd1 O2 F1'
_space_group_name_H-M_alt 'P 4/m m m'
_space_group_IT_number 123
_space_group_name_Hall '-P 4 2'
_cell_length_a 4.353
_cell_length_b 4.353
_cell_length_c 5.167
_cell_angle_alpha 90.00
_cell_angle_beta 90.00
_cell_angle_gamma 90.00
loop_
_atom_site_label
_atom_site_type_symbol
_atom_site_fract_x
_atom_site_fract_y
_atom_site_fract_z
Cs1 Cs 0.000 0.000 0.000
Cd1 Cd 0.500 0.500 0.500
O1 O 0.000 0.500 0.000
F1 F 0.000 0.000 0.500
```



Record 4
Cs3CdFe: PBEsol geometry, meta-GGA SCAN.

- energy of formation (eV/atom) = 0.728

```
data_Cs3CdFe
_chemical_formula_sum 'Cs3 Cd1 Fe1'
_space_group_name_H-M_alt 'P m -3 m'
_space_group_IT_number 221
_space_group_name_Hall '-P 4 2 3'
_cell_length_a 6.463
_cell_length_b 6.463
_cell_length_c 6.463
_cell_angle_alpha 90.00
_cell_angle_beta 90.00
_cell_angle_gamma 90.00
loop_
_atom_site_label
_atom_site_type_symbol
_atom_site_fract_x
_atom_site_fract_y
_atom_site_fract_z
Cs1 Cs 0.000 0.000 0.500
Cd1 Cd 0.500 0.500 0.500
Fe1 Fe 0.000 0.000 0.000
```



Record 5
CsCd2Ge2: PBEsol geometry, meta-GGA SCAN.

- energy of formation (eV/atom) = -0.054

```
data_CsCd2Ge2
_chemical_formula_sum 'Cs2 Cd4 Ge4'
_space_group_name_H-M_alt 'I 4/m m m'
_space_group_IT_number 139
_space_group_name_Hall '-I 4 2'
_cell_length_a 4.813
_cell_length_b 4.813
_cell_length_c 11.069
_cell_angle_alpha 90.00
_cell_angle_beta 90.00
_cell_angle_gamma 90.00
loop_
_atom_site_label
_atom_site_type_symbol
_atom_site_fract_x
_atom_site_fract_y
_atom_site_fract_z
Cs1 Cs 0.000 0.000 0.000
Cd1 Cd 0.000 0.500 0.250
Ge1 Ge 0.000 0.000 0.384
```



Record 6
CsCdGeH2: PBEsol geometry, meta-GGA SCAN.

- E (eV/cell) = -90.09

```
data_CsCdGeH2
_chemical_formula_sum 'Cs1 Cd1 Ge1 H2'
_space_group_name_H-M_alt 'P 4/m m m'
_space_group_IT_number 123
_space_group_name_Hall '-P 4 2'
_cell_length_a 4.587
_cell_length_b 4.587
_cell_length_c 6.267
_cell_angle_alpha 90.00
_cell_angle_beta 90.00
_cell_angle_gamma 90.00
loop_
_atom_site_label
_atom_site_type_symbol
_atom_site_fract_x
_atom_site_fract_y
_atom_site_fract_z
Cs1 Cs 0.000 0.000 0.000
Cd1 Cd 0.500 0.500 0.000
Ge1 Ge 0.000 0.000 0.500
H1 H 0.000 0.500 0.500
```